Record 1
The following is a DFT calculation (GGA-PBE) of an optimized crystal structure of TlReGe2W.

**Total moment**: 5.7 μB/cell
**ΔH_f (0 K)**: 37.70 kcal/mol of atoms

a = 4.891 Å, b = 5.423 Å, c = 4.891 Å
α = 90.00°, β = 90.00°, γ = 90.00°
Last column: magnetic moment on the atom in μB.
Sites, in units of the cell vectors:
W 0.000 0.000 0.000  0.80
Ge 0.000 0.000 0.500  0.03
Ge 0.500 0.000 0.000  0.01
Tl 0.000 0.500 0.000  0.03
Re 0.500 0.500 0.500  3.81


Record 2
The following is a DFT calculation (GGA-PBE) of an optimized crystal structure of TmReGe2.

**Total moment**: 0.0 μB/cell
**ΔH_f (0 K)**: -3.75 kcal/mol of atoms

a = 4.645 Å, b = 4.645 Å, c = 4.567 Å
α = 59.43°, β = 59.43°, γ = 60.00°
Sites, in units of the cell vectors:
Ge 0.752 0.752 0.743
Ge 0.248 0.248 0.257
Tm 0.500 0.500 0.500
Re 0.000 0.000 0.000


Record 3
The following is a DFT calculation (GGA-PBE) of an optimized crystal structure of U5Re3Ge3.

**Total moment**: 6.2 μB/cell
**ΔH_f (0 K)**: 9.98 kcal/mol of atoms

a = 4.008 Å, b = 8.279 Å, c = 8.279 Å
α = 120.00°, β = 90.00°, γ = 90.00°
Last column: magnetic moment on the atom in μB.
Sites, in units of the cell vectors:
U 0.500 0.636 0.636  1.12
U 0.500 0.364 0.000  1.12
U 0.500 0.667 0.333  1.61
U 0.500 0.000 0.364  1.12
U 0.500 0.333 0.667  1.61
Ge 0.000 0.374 0.374  -0.02
Ge 0.000 0.000 0.626  -0.02
Ge 0.000 0.626 0.000  -0.02
Re 0.500 0.807 0.000  -0.14
Re 0.500 0.000 0.807  -0.14
Re 0.500 0.193 0.193  -0.14


Record 4
The following is a DFT calculation (GGA-PBE) of an optimized crystal structure of V4ReGe3.

**Total moment**: 0.0 μB/cell
**ΔH_f (0 K)**: 0.68 kcal/mol of atoms

a = 5.036 Å, b = 5.015 Å, c = 9.303 Å
α = 90.00°, β = 90.00°, γ = 90.00°
Sites, in units of the cell vectors:
Ge 0.514 0.099 0.730
Ge 0.014 0.901 0.770
Ge 0.002 0.284 0.500
Ge 0.502 0.716 0.000
Ge 0.014 0.901 0.230
Ge 0.514 0.099 0.270
V 0.723 0.195 0.000
V 0.001 0.638 0.000
V 0.501 0.362 0.500
V 0.512 0.589 0.243
V 0.512 0.589 0.757
V 0.223 0.805 0.500
V 0.012 0.411 0.743
V 0.012 0.411 0.257
Re 0.238 0.196 0.000
Re 0.738 0.804 0.500


Record 5
The following is a DFT calculation (GGA-PBE) of an optimized crystal structure of V2Re2Ge.

**Total moment**: 0.0 μB/cell
**ΔH_f (0 K)**: 7.00 kcal/mol of atoms
**Excess energy over the best structure of this formula in the dataset**: 0.000 eV per atom

a = 7.273 Å, b = 7.273 Å, c = 2.918 Å
α = 90.00°, β = 90.00°, γ = 90.00°
Sites, in units of the cell vectors:
Re 0.859 0.641 0.000
Re 0.641 0.141 0.000
Re 0.141 0.359 0.000
Re 0.359 0.859 0.000
Ge 0.500 0.500 0.000
Ge 0.000 0.000 0.000
V 0.655 0.845 0.500
V 0.155 0.655 0.500
V 0.845 0.345 0.500
V 0.345 0.155 0.500


Record 6
The following is a DFT calculation (GGA-PBE) of an optimized crystal structure of VReGe3.

**Total moment**: 4.8 μB/cell
**ΔH_f (0 K)**: 19.45 kcal/mol of atoms
**Excess energy over the best structure of this formula in the dataset**: 0.685 eV per atom

a = 4.829 Å, b = 4.829 Å, c = 4.829 Å
α = 90.00°, β = 90.00°, γ = 90.00°
Last column: magnetic moment on the atom in μB.
Sites, in units of the cell vectors:
V 0.500 0.500 0.500  3.14
Ge 0.000 0.500 0.000  0.03
Ge 0.000 0.000 0.500  0.03
Ge 0.500 0.000 0.000  0.03
Re 0.000 0.000 0.000  0.51


Record 7
The following is a DFT calculation (GGA-PBE) of an optimized crystal structure of VReGe.

**Total moment**: 0.0 μB/cell
**ΔH_f (0 K)**: -1.70 kcal/mol of atoms
**Excess energy over the best structure of this formula in the dataset**: 0.000 eV per atom

a = 3.139 Å, b = 3.139 Å, c = 4.855 Å
α = 108.86°, β = 108.86°, γ = 90.00°
Sites, in units of the cell vectors:
Ge 0.999 0.999 0.998
V 0.330 0.330 0.660
Re 0.671 0.671 0.342


Record 8
The following is a DFT calculation (GGA-PBE) of an optimized crystal structure of VRe2Ge4.

**Total moment**: 0.0 μB/cell
**ΔH_f (0 K)**: 19.20 kcal/mol of atoms

a = 4.671 Å, b = 4.671 Å, c = 7.026 Å
α = 70.59°, β = 70.59°, γ = 90.00°
Sites, in units of the cell vectors:
Re 0.600 0.600 0.801
Re 0.400 0.400 0.199
Ge 0.500 0.000 0.000
Ge 0.201 0.201 0.598
Ge 0.000 0.500 0.000
Ge 0.799 0.799 0.402
V 0.000 0.000 0.000